1.
VASP calculation (PBE-GGA) on crystalline Nd5Ho2Er6 at its relaxed geometry.

The space group is Pbam (No. 55) and the conventional cell measures 11.6182, 20.5011 and 3.5873 Å, with angles of 90.00, 90.00 and 90.00 degrees. The asymmetric unit holds Nd at (0.0000, 0.0000, 0.0000), Nd at (0.0828, 0.2725, 0.0000), Nd at (0.1987, 0.5502, 0.0000), Ho at (0.1718, 0.7104, 0.5000), Er at (0.0618, 0.4186, 0.5000), Er at (0.0802, 0.1314, 0.5000) and Er at (0.1755, 0.8615, 0.0000).

The calculation puts the calculated formation energy at 95 meV/atom. The energy is -4.55 eV/atom.

***

2.
VASP calculation (PBE-GGA) on crystalline NdHo4Er3 at its relaxed geometry.

The space group is Pmn2_1 (No. 31) and the conventional cell measures 11.2119, 7.2398 and 6.2505 Å, with angles of 90.00, 90.00 and 90.00 degrees. The asymmetric unit holds Nd at (0.0000, 0.1258, 0.0000), Ho at (0.0000, 0.3759, 0.5014), Ho at (0.0000, 0.6247, 0.9997), Ho at (0.2480, 0.6241, 0.3340), Er at (0.0000, 0.8742, 0.5000) and Er at (0.2499, 0.1258, 0.3338).

The calculation puts the calculated formation energy at 6 meV/atom. Its energy relative to the lowest polymorph listed for this composition is 0 kJ/mol of formula units. The energy is -4.59 eV/atom.

***

3.
VASP calculation (PBE-GGA) on crystalline NdHo3Er6 at its relaxed geometry.

The space group is R3 (No. 146, hexagonal axes) and the conventional cell measures 9.7466, 9.7466 and 11.6211 Å, with angles of 90.00, 90.00 and 120.00 degrees. The asymmetric unit holds Nd at (0.0000, 0.0000, 0.0000), Ho at (0.0000, 0.0000, 0.2562), Ho at (0.0000, 0.0000, 0.5014), Ho at (0.0000, 0.0000, 0.7507), Er at (0.0006, 0.3320, 0.6631) and Er at (0.0035, 0.6687, 0.1626).

The calculation puts the calculated formation energy at 288 meV/atom. Its energy relative to the lowest polymorph listed for this composition is 134 kJ/mol of formula units. The energy is -4.30 eV/atom.

***

4.
VASP calculation (PBE-GGA) on crystalline Nd3HoEr at its relaxed geometry.

The space group is Pbcm (No. 57) and the conventional cell measures 3.5736, 17.5741 and 11.0345 Å, with angles of 90.00, 90.00 and 90.00 degrees. The asymmetric unit holds Nd at (0.2491, 0.0763, 0.0563), Nd at (0.2515, 0.7500, 0.0000), Ho at (0.2524, 0.6011, 0.7500) and Er at (0.2480, 0.2258, 0.2500).

The calculation puts the calculated formation energy at 166 meV/atom. Its energy relative to the lowest polymorph listed for this composition is 0 kJ/mol of formula units. The energy is -4.52 eV/atom.

***

5.
VASP calculation (PBE-GGA) on crystalline NdHo2Er8 at its relaxed geometry.

The space group is C2/m (No. 12) and the conventional cell measures 17.9811, 4.9796 and 7.8840 Å, with angles of 90.00, 105.27 and 90.00 degrees. The asymmetric unit holds Nd at (0.0000, 0.0000, 0.0000), Ho at (0.2278, 0.5000, 0.6366), Er at (0.0457, 0.5000, 0.7260), Er at (0.0913, 0.0000, 0.4568), Er at (0.1374, 0.5000, 0.1834) and Er at (0.1822, 0.0000, 0.9085).

The calculation puts the calculated formation energy at 23 meV/atom. Its energy relative to the lowest polymorph listed for this composition is 0 kJ/mol of formula units. The energy is -4.56 eV/atom.

***

6.
VASP calculation (PBE-GGA) on crystalline NdHo2Er at its relaxed geometry.

The space group is R3m (No. 160, hexagonal axes) and the conventional cell measures 3.5759, 3.5759 and 34.6403 Å, with angles of 90.00, 90.00 and 120.00 degrees. The asymmetric unit holds Nd at (0.0000, 0.0000, 0.0000), Ho at (0.0000, 0.0000, 0.2488), Ho at (0.0000, 0.0000, 0.4192) and Er at (0.0000, 0.0000, 0.8342).

The calculation puts the calculated formation energy at 21 meV/atom. Its energy relative to the lowest polymorph listed for this composition is 7 kJ/mol of formula units. The energy is -4.60 eV/atom.

***

7.
VASP calculation (PBE-GGA) on crystalline NdHo14Er at its relaxed geometry.

The space group is Amm2 (No. 38) and the conventional cell measures 11.4124, 7.0973 and 12.2880 Å, with angles of 90.00, 90.00 and 90.00 degrees. The asymmetric unit holds Nd at (0.0000, 0.0000, 0.0000), Ho at (0.0000, 0.2499, 0.2499), Ho at (0.2498, 0.0000, 0.6667), Ho at (0.2519, 0.0000, 0.1672), Ho at (0.2517, 0.2496, 0.4167), Ho at (0.5000, 0.0000, 0.3337), Ho at (0.5000, 0.0000, 0.8334), Ho at (0.5000, 0.2502, 0.0836) and Er at (0.0000, 0.0000, 0.5000).

The calculation puts the calculated formation energy at 5 meV/atom. The energy is -4.58 eV/atom.

***

8.
VASP calculation (PBE-GGA) on crystalline Nd6Ho6Er at its relaxed geometry.

The space group is Cmmm (No. 65) and the conventional cell measures 7.1078, 11.1383 and 11.1823 Å, with angles of 90.00, 90.00 and 90.00 degrees. The asymmetric unit holds Nd at (0.0000, 0.0000, 0.1762), Nd at (0.0000, 0.2602, 0.0000), Nd at (0.0000, 0.3584, 0.5000), Ho at (0.0000, 0.5000, 0.1957), Ho at (0.2500, 0.2500, 0.2764) and Er at (0.0000, 0.0000, 0.5000).

The calculation puts the calculated formation energy at 224 meV/atom. The energy is -4.44 eV/atom.

***

9.
VASP calculation (PBE-GGA) on crystalline Nd3Ho8Er2 at its relaxed geometry.

The space group is C2/m (No. 12) and the conventional cell measures 20.7358, 5.0287 and 7.9598 Å, with angles of 90.00, 94.39 and 90.00 degrees. The asymmetric unit holds Nd at (0.0000, 0.0000, 0.0000), Nd at (0.0390, 0.5000, 0.3065), Ho at (0.0787, 0.0000, 0.6142), Ho at (0.1178, 0.5000, 0.9210), Ho at (0.1561, 0.0000, 0.2303), Ho at (0.1934, 0.5000, 0.5389) and Er at (0.2313, 0.0000, 0.8461).

The calculation puts the calculated formation energy at 23 meV/atom. Its energy relative to the lowest polymorph listed for this composition is 0 kJ/mol of formula units. The energy is -4.60 eV/atom.

***

10.
VASP calculation (PBE-GGA) on crystalline Nd7HoEr4 at its relaxed geometry.

The space group is P-1 (No. 2) and the conventional cell measures 6.3176, 7.2773 and 8.9696 Å, with angles of 90.04, 103.56 and 90.01 degrees. The asymmetric unit holds Nd at (0.0000, 0.0000, 0.0000), Nd at (0.2210, 0.5002, 0.6656), Nd at (0.2812, 0.7505, 0.3354), Nd at (0.4992, 0.2470, 0.0020), Ho at (0.0000, 0.5000, 0.0000), Er at (0.2191, 0.0000, 0.6644) and Er at (0.2774, 0.2468, 0.3327).

The calculation puts the calculated formation energy at 7 meV/atom. Its energy relative to the lowest polymorph listed for this composition is 0 kJ/mol of formula units. The energy is -4.68 eV/atom.

***

11.
VASP calculation (PBE-GGA) on crystalline Nd2Ho7Er2 at its relaxed geometry.

The space group is C2/m (No. 12) and the conventional cell measures 11.1874, 11.4753 and 6.0700 Å, with angles of 90.00, 113.83 and 90.00 degrees. The asymmetric unit holds Nd at (0.0905, 0.0000, 0.3053), Ho at (0.0000, 0.5000, 0.5000), Ho at (0.1747, 0.2625, 0.6798), Ho at (0.2276, 0.5000, 0.0789) and Er at (0.0000, 0.2862, 0.0000).

The calculation puts the calculated formation energy at 154 meV/atom. Its energy relative to the lowest polymorph listed for this composition is 0 kJ/mol of formula units. The energy is -4.46 eV/atom.

***

12.
VASP calculation (PBE-GGA) on crystalline NdHo8Er6 at its relaxed geometry.

The space group is R-3 (No. 148, hexagonal axes) and the conventional cell measures 8.9629, 8.9629 and 20.4407 Å, with angles of 90.00, 90.00 and 120.00 degrees. The asymmetric unit holds Nd at (0.0000, 0.0000, 0.0000), Ho at (0.0000, 0.0000, 0.4236), Ho at (0.0811, 0.5287, 0.8085) and Er at (0.0604, 0.8153, 0.7071).

The calculation puts the calculated formation energy at 137 meV/atom. Its energy relative to the lowest polymorph listed for this composition is 0 kJ/mol of formula units. The energy is -4.45 eV/atom.